Density functional theory data (GGA-PBE) for an optimized crystal structure of Li2FeHg.

a = 3.8677 Å, b = 3.8677 Å, c = 8.4914 Å
α = 90.00°, β = 90.00°, γ = 90.00°
Space group I4/mmm (No. 139)
Inequivalent atoms, fractional coordinates:
Li  0.0000  0.5000  0.2500 [4 per cell]
Fe  0.0000  0.0000  0.0000 [2 per cell]
Hg  0.0000  0.0000  0.5000 [2 per cell]

Results
M_tot ... 5.298 Bohr magnetons per cell
Fermi-level density of states ... 0.668 states/eV/atom
Formation enthalpy at 0 K ... 0.135 eV per atom